[1]
First-principles (PBE) data for crystalline HfHg2RhBr at its relaxed geometry, as listed in Alexandria.

Properties
Raw formation energy, eV per atom: 0.480

Cell: 5.707 5.707 4.734 Å, 90.00 90.00 90.00°
Atoms (fractional coordinates):
Hf (0.000, 0.000, 0.000)
Hg (0.000, 0.500, 0.000)
Hg (0.500, 0.000, 0.000)
Rh (0.000, 0.000, 0.500)
Br (0.500, 0.500, 0.500)

[2]
First-principles (PBE) data for crystalline HfHgSeBr2 at its relaxed geometry, as listed in Alexandria.

Properties
Raw formation energy, eV per atom: -0.771

Cell: 5.409 5.409 5.117 Å, 90.00 90.00 90.00°
Atoms (fractional coordinates):
Hf (0.000, 0.000, 0.000)
Hg (0.500, 0.500, 0.500)
Se (0.000, 0.000, 0.500)
Br (0.000, 0.500, 0.000)
Br (0.500, 0.000, 0.000)

[3]
First-principles (PBE) data for crystalline HfHgSeBr2 at its relaxed geometry, as listed in Alexandria.

Properties
Raw formation energy, eV per atom: 0.609

Cell: 5.340 5.340 5.395 Å, 90.00 90.00 90.00°
Atoms (fractional coordinates):
Hf (0.000, 0.000, 0.000)
Hg (0.500, 0.500, 0.500)
Se (0.500, 0.500, 0.000)
Br (0.000, 0.500, 0.500)
Br (0.500, 0.000, 0.500)

[4]
First-principles (PBE) data for crystalline HfTlHg2Br6 at its relaxed geometry, as listed in Alexandria.

Properties
Raw formation energy, eV per atom: -0.895

Cell: 8.394 8.939 11.132 Å, 90.00 117.27 90.00°
Atoms (fractional coordinates):
Hf (0.000, 0.000, 0.000)
Hf (0.000, 0.500, 0.500)
Tl (0.500, 0.000, 0.000)
Tl (0.500, 0.500, 0.500)
Hg (0.334, 0.070, 0.414)
Hg (0.334, 0.430, 0.914)
Hg (0.666, 0.570, 0.086)
Hg (0.666, 0.930, 0.586)
Br (0.049, 0.019, 0.784)
Br (0.049, 0.481, 0.284)
Br (0.241, 0.711, 0.594)
Br (0.241, 0.789, 0.094)
Br (0.259, 0.201, 0.121)
Br (0.259, 0.299, 0.621)
Br (0.741, 0.701, 0.379)
Br (0.741, 0.799, 0.879)
Br (0.759, 0.211, 0.906)
Br (0.759, 0.289, 0.406)
Br (0.951, 0.519, 0.716)
Br (0.951, 0.981, 0.216)

[5]
First-principles (PBE) data for crystalline HfV2HgBr at its relaxed geometry, as listed in Alexandria.

Properties
Raw formation energy, eV per atom: 1.122

Cell: 4.476 4.476 5.494 Å, 90.00 90.00 90.00°
Atoms (fractional coordinates):
Hf (0.000, 0.000, 0.000)
V (0.000, 0.500, 0.500)
V (0.500, 0.000, 0.500)
Hg (0.500, 0.500, 0.000)
Br (0.500, 0.500, 0.500)

[6]
First-principles (PBE) data for crystalline HoHfBr at its relaxed geometry, as listed in Alexandria.

Properties
Raw formation energy, eV per atom: -0.425

Cell: 7.427 7.427 6.093 Å, 96.17 96.17 26.72°
Atoms (fractional coordinates):
Ho (0.089, 0.089, 0.349)
Ho (0.911, 0.911, 0.651)
Hf (0.417, 0.417, 0.126)
Hf (0.583, 0.583, 0.874)
Br (0.236, 0.236, 0.751)
Br (0.764, 0.764, 0.249)

Repeat the third record exactly.
First-principles (PBE) data for crystalline HfHgSeBr2 at its relaxed geometry, as listed in Alexandria.

Properties
Raw formation energy, eV per atom: 0.609

Cell: 5.340 5.340 5.395 Å, 90.00 90.00 90.00°
Atoms (fractional coordinates):
Hf (0.000, 0.000, 0.000)
Hg (0.500, 0.500, 0.500)
Se (0.500, 0.500, 0.000)
Br (0.000, 0.500, 0.500)
Br (0.500, 0.000, 0.500)

What did the fourth record say?
First-principles (PBE) data for crystalline HfTlHg2Br6 at its relaxed geometry, as listed in Alexandria.

Properties
Raw formation energy, eV per atom: -0.895

Cell: 8.394 8.939 11.132 Å, 90.00 117.27 90.00°
Atoms (fractional coordinates):
Hf (0.000, 0.000, 0.000)
Hf (0.000, 0.500, 0.500)
Tl (0.500, 0.000, 0.000)
Tl (0.500, 0.500, 0.500)
Hg (0.334, 0.070, 0.414)
Hg (0.334, 0.430, 0.914)
Hg (0.666, 0.570, 0.086)
Hg (0.666, 0.930, 0.586)
Br (0.049, 0.019, 0.784)
Br (0.049, 0.481, 0.284)
Br (0.241, 0.711, 0.594)
Br (0.241, 0.789, 0.094)
Br (0.259, 0.201, 0.121)
Br (0.259, 0.299, 0.621)
Br (0.741, 0.701, 0.379)
Br (0.741, 0.799, 0.879)
Br (0.759, 0.211, 0.906)
Br (0.759, 0.289, 0.406)
Br (0.951, 0.519, 0.716)
Br (0.951, 0.981, 0.216)

Q: The highest raw formation energy belongs to which entry?
A: HfV2HgBr

Q: The highest raw formation energy belongs to which entry?
A: HfV2HgBr